# Nd3Ge13Ir4 | Alexandria via LeMat-Bulk | GGA-PBEsol | optimized geometry
# - Formation energy from the elements: -0.565 eV per atom
# - DOS(E_F): 7.2 states/eV/f.u.
# - Total magnetization: 0.00 μB per atom
data_Nd3Ge13Ir4
_space_group_name_H-M_alt 'P m -3 n'
_space_group_IT_number 223
_space_group_name_Hall '-P 4n 2 3'
_cell_length_a 9.020
_cell_length_b 9.020
_cell_length_c 9.020
_cell_angle_alpha 90.00
_cell_angle_beta 90.00
_cell_angle_gamma 90.00
loop_
_atom_site_label
_atom_site_fract_x
_atom_site_fract_y
_atom_site_fract_z
Nd1 0.000 0.250 0.500
Ge1 0.000 0.000 0.000
Ge2 0.000 0.303 0.145
Ir1 0.250 0.250 0.250